[1]
Below is a geometry-optimized TaNiAs2 structure, with properties calculated at the PBE-GGA level.

Properties
Symmetry: No. 123
Energy of formation: -67 meV/atom
E: -6.800 eV per atom
Total magnetic moment: 0.00 Bohr magnetons per cell

Cell lengths 3.2925, 3.2926, 5.6613 Å; angles 90.00, 90.00, 90.00 degrees
Last column: nearest neighbours and their distance in Å.
Sites, in units of the cell vectors:
Ni (0.5000, 0.5000, 0.2500)  8 As 2.70, 2 Ta 2.83
Ta (0.5000, 0.5000, 0.7500)  8 As 2.75, 2 Ni 2.83
As (0.0000, 0.0000, 0.0093)  4 Ni 2.70, 2 As 2.73-2.94, 4 Ta 2.75
As (0.0000, 0.0000, 0.4907)  4 Ni 2.70, 2 As 2.73-2.94, 4 Ta 2.75

***

[2]
Below is a geometry-optimized AlSb2TeF structure, with properties calculated at the PBE-GGA level.

Properties
Raw formation energy: 0.829 eV/f.u.
Symmetry: No. 123
E: -3.234 eV per atom
Distance to the lowest polymorph of the same formula: 163.8 meV per atom
Total magnetic moment: 0.00 Bohr magnetons per cell

Cell lengths 5.2481, 5.2481, 5.2153 Å; angles 90.00, 90.00, 90.00 degrees
Last column: nearest neighbours and their distance in Å.
Sites, in units of the cell vectors:
F (0.5000, 0.5000, 0.5000)  8 Sb 3.70, 4 Te 3.71
Al (0.0000, 0.0000, 0.0000)  2 Te 2.61, 4 Sb 2.62
Te (0.0000, 0.0000, 0.5000)  2 Al 2.61
Sb (0.0000, 0.5000, 0.0000)  2 Al 2.62
Sb (0.5000, 0.0000, 0.0000)  2 Al 2.62

***

[3]
Below is a geometry-optimized LaTl2PbSe4 structure, with properties calculated at the PBE-GGA level.

Properties
Raw formation energy: -7.207 eV/f.u.
Symmetry: No. 10
E: -4.314 eV per atom
Total magnetic moment: 0.00 Bohr magnetons per cell

Cell lengths 4.3937, 7.8134, 7.6908 Å; angles 70.24, 90.00, 90.00 degrees
Last column: nearest neighbours and their distance in Å.
Sites, in units of the cell vectors:
Tl (0.0000, 0.0000, 0.0000)  6 Se 3.27-3.30
Tl (0.5000, 0.0000, 0.5000)  6 Se 3.18-3.25
Se (0.5000, 0.2763, 0.7348)  2 La 3.00, 1 Pb 3.10, 3 Tl 3.25-3.27
Se (0.0000, 0.7332, 0.7462)  1 La 3.04, 2 Pb 3.09, 3 Tl 3.18-3.30
Se (0.5000, 0.7237, 0.2652)  2 La 3.00, 1 Pb 3.10, 3 Tl 3.25-3.27
Se (0.0000, 0.2668, 0.2538)  1 La 3.04, 2 Pb 3.09, 3 Tl 3.18-3.30
Pb (0.5000, 0.5000, 0.0000)  6 Se 3.09-3.10
La (0.0000, 0.5000, 0.5000)  6 Se 3.00-3.04

***

[4]
Below is a geometry-optimized Y2Ni structure, with properties calculated at the PBE-GGA level.

Properties
Symmetry: No. 141
Energy of formation: -154 meV/atom
E: -6.391 eV per atom
Total magnetic moment: 0.00 Bohr magnetons per cell

Cell lengths 13.3848, 13.3848, 13.3848 Å; angles 165.46, 165.46, 20.62 degrees
Last column: nearest neighbours and their distance in Å.
Sites, in units of the cell vectors:
Y (0.5619, 0.5619, 0.0000)  4 Ni 2.90
Y (0.4381, 0.4381, 0.0000)  4 Ni 2.90
Y (0.3119, 0.8119, 0.5000)  4 Ni 2.90
Y (0.1881, 0.6881, 0.5000)  4 Ni 2.90
Ni (0.0000, 0.0000, 0.0000)  8 Y 2.90
Ni (0.7500, 0.2500, 0.5000)  8 Y 2.90